Record 1
Here is Na2TlO after structural relaxation from Alexandria. Energies are from PBE-GGA. Values from VASP.

Results
For the density, the calculation gives 5.020 g/cm3. The calculation puts the uncorrected formation energy at -0.743 eV per atom. The magnetization comes out at 0.00 Bohr magnetons per cell. The density of states at the Fermi level is 0.332 states/eV per atom. The total energy comes out at -25.87 eV for the cell shown. As for the space-group type: Cmcm, No. 63.

Structure (Quantum ESPRESSO input):
```
&SYSTEM
  ibrav = 0, nat = 8, ntyp = 3
/
ATOMIC_SPECIES
Na 22.99 Na.upf
Tl 204.38 Tl.upf
O 16.00 O.upf
CELL_PARAMETERS angstrom
1.7936 -11.0438 0.0000
1.7936 11.0438 0.0000
0.0000 0.0000 4.4477
ATOMIC_POSITIONS angstrom
Na 1.7936 7.9770 3.3358
Na 1.7936 5.0837 3.3358
Na 1.7936 -5.0837 1.1119
Na 1.7936 -7.9770 1.1119
Tl 1.7936 1.1642 3.3358
Tl 1.7936 -1.1642 1.1119
O 1.7936 4.3184 1.1119
O 1.7936 -4.3184 3.3358
```



Record 2
Here is Pm2Zn2SnPt5 after structural relaxation from Alexandria. Energies are from PBE-GGA. Values from VASP.

Results
For the density, the calculation gives 13.470 g/cm3. The magnetization comes out at 0.00 Bohr magnetons per cell. The density of states at the Fermi level is 0.478 states/eV per atom. The total energy comes out at -108.49 eV for the cell shown. The calculated formation energy is -0.799 eV per atom. As for the space-group type: P4/mbm, No. 127.

Structure (Quantum ESPRESSO input):
```
&SYSTEM
  ibrav = 0, nat = 20, ntyp = 4
/
ATOMIC_SPECIES
Pm 145.00 Pm.upf
Zn 65.41 Zn.upf
Sn 118.71 Sn.upf
Pt 195.08 Pt.upf
CELL_PARAMETERS angstrom
9.8350 0.0000 0.0000
0.0000 9.8350 0.0000
0.0000 0.0000 3.8616
ATOMIC_POSITIONS angstrom
Pm 1.7514 3.1661 0.0000
Pm 3.1661 8.0836 0.0000
Pm 6.6689 1.7514 0.0000
Pm 8.0836 6.6689 0.0000
Zn 1.1676 6.0852 0.0000
Zn 3.7499 1.1676 0.0000
Zn 6.0852 8.6674 0.0000
Zn 8.6674 3.7499 0.0000
Sn 0.0000 0.0000 0.0000
Sn 4.9175 4.9175 0.0000
Pt 0.0000 4.9175 1.9308
Pt 0.6294 7.7676 1.9308
Pt 2.0675 0.6294 1.9308
Pt 2.8500 5.5470 1.9308
Pt 4.2881 2.8500 1.9308
Pt 4.9175 0.0000 1.9308
Pt 5.5470 6.9850 1.9308
Pt 6.9850 4.2881 1.9308
Pt 7.7676 9.2056 1.9308
Pt 9.2056 2.0675 1.9308
```



Record 3
Here is Ac8TbSn6 after structural relaxation from Alexandria. Energies are from PBE-GGA. Values from VASP.

Results
For the density, the calculation gives 7.644 g/cm3. The magnetization comes out at 0.00 Bohr magnetons per cell. The density of states at the Fermi level is 0.572 states/eV per atom. The total energy comes out at -69.27 eV for the cell shown. The calculated formation energy is -0.517 eV per atom. As for the space-group type: R-3, No. 148.

Structure (Quantum ESPRESSO input):
```
&SYSTEM
  ibrav = 0, nat = 15, ntyp = 3
/
ATOMIC_SPECIES
Ac 227.00 Ac.upf
Tb 158.93 Tb.upf
Sn 118.71 Sn.upf
CELL_PARAMETERS angstrom
4.8984 2.8281 7.0233
-4.8984 2.8281 7.0233
0.0000 -5.6562 7.0233
ATOMIC_POSITIONS angstrom
Ac -3.3182 -0.0112 8.3338
Ac 0.0000 0.0000 3.4782
Ac -1.6494 -2.8792 12.7363
Ac 1.6688 -2.8681 8.3337
Ac -1.6688 2.8681 12.7363
Ac 1.6494 2.8792 8.3338
Ac 0.0000 0.0000 17.5918
Ac 3.3182 0.0112 12.7363
Tb 0.0000 0.0000 10.5350
Sn -1.5772 -2.7325 9.1581
Sn -3.1550 -0.0004 11.9119
Sn -1.5778 2.7321 9.1581
Sn 1.5778 -2.7321 11.9119
Sn 3.1550 0.0004 9.1581
Sn 1.5772 2.7325 11.9119
```



Record 4
Here is CeSi3Ni5 after structural relaxation from Alexandria. Energies are from PBE-GGA. Values from VASP.

Results
For the density, the calculation gives 6.861 g/cm3. The calculation puts the uncorrected formation energy at -0.668 eV per atom. The magnetization comes out at 1.35 Bohr magnetons per cell. The density of states at the Fermi level is 1.059 states/eV per atom. The total energy comes out at -114.25 eV for the cell shown. As for the space-group type: Cmcm, No. 63.

Structure (Quantum ESPRESSO input):
```
&SYSTEM
  ibrav = 0, nat = 18, ntyp = 3
/
ATOMIC_SPECIES
Ce 140.12 Ce.upf
Si 28.09 Si.upf
Ni 58.69 Ni.upf
CELL_PARAMETERS angstrom
1.8404 -5.8790 0.0000
1.8404 5.8790 0.0000
0.0000 0.0000 11.5840
ATOMIC_POSITIONS angstrom
Ce 1.8404 3.9935 8.6880
Ce 1.8404 -3.9935 2.8960
Si 1.8404 4.5311 2.8960
Si 1.8404 1.3767 0.4569
Si 1.8404 1.3767 5.3352
Si 1.8404 -1.3767 6.2489
Si 1.8404 -1.3767 11.1272
Si 1.8404 -4.5311 8.6880
Ni 0.0000 0.0000 0.0000
Ni 0.0000 0.0000 5.7920
Ni 1.8404 3.5677 0.7711
Ni 1.8404 3.5677 5.0210
Ni 1.8404 0.5937 7.4799
Ni 1.8404 0.5937 9.8961
Ni 1.8404 -0.5937 1.6879
Ni 1.8404 -0.5937 4.1041
Ni 1.8404 -3.5677 6.5631
Ni 1.8404 -3.5677 10.8130
```



Record 5
Here is Ca2BeAsAu6 after structural relaxation from Alexandria. Energies are from PBE-GGA. Values from VASP.

Results
For the density, the calculation gives 10.164 g/cm3. The magnetization comes out at 0.00 Bohr magnetons per cell. The density of states at the Fermi level is 0.348 states/eV per atom. The total energy comes out at -35.70 eV for the cell shown. The calculated formation energy is -0.366 eV per atom. As for the space-group type: Fm-3m, No. 225.

Structure (Quantum ESPRESSO input):
```
&SYSTEM
  ibrav = 0, nat = 10, ntyp = 4
/
ATOMIC_SPECIES
Ca 40.08 Ca.upf
Be 9.01 Be.upf
As 74.92 As.upf
Au 196.97 Au.upf
CELL_PARAMETERS angstrom
0.0000 4.7906 4.7906
4.7906 0.0000 4.7906
4.7906 4.7906 0.0000
ATOMIC_POSITIONS angstrom
Ca 2.3953 2.3953 2.3953
Ca 7.1859 7.1859 7.1859
Be 0.0000 0.0000 0.0000
As 4.7906 4.7906 4.7906
Au 4.7906 4.7906 2.2390
Au 4.7906 2.2390 4.7906
Au 7.3421 4.7906 4.7906
Au 2.2390 4.7906 4.7906
Au 4.7906 7.3421 4.7906
Au 4.7906 4.7906 7.3421
```



Record 6
Here is NdCdCu2 after structural relaxation from Alexandria. Energies are from PBE-GGA. Values from VASP.

Results
For the density, the calculation gives 8.050 g/cm3. The magnetization comes out at 0.00 Bohr magnetons per cell. The density of states at the Fermi level is 0.629 states/eV per atom. The total energy comes out at -58.97 eV for the cell shown. The calculated formation energy is -0.217 eV per atom. As for the space-group type: Pnma, No. 62.

Structure (Quantum ESPRESSO input):
```
&SYSTEM
  ibrav = 0, nat = 16, ntyp = 3
/
ATOMIC_SPECIES
Nd 144.24 Nd.upf
Cd 112.41 Cd.upf
Cu 63.55 Cu.upf
CELL_PARAMETERS angstrom
7.3779 0.0000 0.0000
0.0000 4.3723 0.0000
0.0000 0.0000 9.8152
ATOMIC_POSITIONS angstrom
Nd 1.4653 1.0931 1.7446
Nd 2.2237 3.2793 6.6522
Nd 5.1542 1.0931 3.1630
Nd 5.9126 3.2793 8.0705
Cd 0.2946 3.2793 3.9125
Cd 3.3943 1.0931 8.8201
Cd 3.9836 3.2793 0.9951
Cd 7.0832 1.0931 5.9027
Cu 0.6186 1.0931 8.5826
Cu 1.4997 3.2793 9.4979
Cu 2.1892 1.0931 4.5903
Cu 3.0703 3.2793 3.6751
Cu 4.3076 1.0931 6.1401
Cu 5.1887 3.2793 5.2249
Cu 5.8781 1.0931 0.3173
Cu 6.7592 3.2793 1.2325
```



Record 7
Here is TcSbAs2 after structural relaxation from Alexandria. Energies are from PBE-GGA. Values from VASP.

Results
For the density, the calculation gives 7.534 g/cm3. The calculation puts the uncorrected formation energy at 0.454 eV per atom. The magnetization comes out at 1.32 Bohr magnetons per cell. The density of states at the Fermi level is 0.843 states/eV per atom. The total energy comes out at -21.97 eV for the cell shown. As for the space-group type: I4/mmm, No. 139.

Structure (Quantum ESPRESSO input):
```
&SYSTEM
  ibrav = 0, nat = 4, ntyp = 3
/
ATOMIC_SPECIES
Tc 98.00 Tc.upf
Sb 121.76 Sb.upf
As 74.92 As.upf
CELL_PARAMETERS angstrom
-2.7132 2.7132 2.7664
2.7132 -2.7132 2.7664
2.7132 2.7132 -2.7664
ATOMIC_POSITIONS angstrom
Tc 0.0000 0.0000 0.0000
Sb 0.0000 0.0000 2.7664
As 2.7132 0.0000 0.0000
As 0.0000 2.7132 0.0000
```



Record 8
Here is ReSiSb after structural relaxation from Alexandria. Energies are from PBE-GGA. Values from VASP.

Results
For the density, the calculation gives 9.462 g/cm3. The calculation puts the uncorrected formation energy at 0.471 eV per atom. The magnetization comes out at 0.00 Bohr magnetons per cell. The density of states at the Fermi level is 1.192 states/eV per atom. The total energy comes out at -20.58 eV for the cell shown. As for the space-group type: F-43m, No. 216.

Structure (Quantum ESPRESSO input):
```
&SYSTEM
  ibrav = 0, nat = 3, ntyp = 3
/
ATOMIC_SPECIES
Re 186.21 Re.upf
Si 28.09 Si.upf
Sb 121.76 Sb.upf
CELL_PARAMETERS angstrom
0.0000 3.0895 3.0895
3.0895 0.0000 3.0895
3.0895 3.0895 0.0000
ATOMIC_POSITIONS angstrom
Re 0.0000 0.0000 0.0000
Si 1.5447 1.5447 1.5447
Sb 4.6342 4.6342 4.6342
```



Record 9
Here is Dy3Ge2Pd7 after structural relaxation from Alexandria. Energies are from PBE-GGA. Values from VASP.

Results
For the density, the calculation gives 10.193 g/cm3. The magnetization comes out at 0.00 Bohr magnetons per cell. The density of states at the Fermi level is 0.677 states/eV per atom. The total energy comes out at -69.22 eV for the cell shown. The calculated formation energy is -0.819 eV per atom. As for the space-group type: I4/mmm, No. 139.

Structure (Quantum ESPRESSO input):
```
&SYSTEM
  ibrav = 0, nat = 12, ntyp = 3
/
ATOMIC_SPECIES
Dy 162.50 Dy.upf
Ge 72.64 Ge.upf
Pd 106.42 Pd.upf
CELL_PARAMETERS angstrom
-2.0208 2.0208 13.7399
2.0208 -2.0208 13.7399
2.0208 2.0208 -13.7399
ATOMIC_POSITIONS angstrom
Dy 0.0000 0.0000 0.0000
Dy 0.0000 0.0000 4.7806
Dy 0.0000 0.0000 22.6992
Ge 0.0000 0.0000 10.1335
Ge 0.0000 0.0000 17.3464
Pd 2.0208 0.0000 2.1481
Pd 0.0000 0.0000 7.6259
Pd 2.0208 0.0000 11.5918
Pd 0.0000 0.0000 13.7399
Pd 0.0000 2.0208 2.1481
Pd 0.0000 0.0000 19.8539
Pd 0.0000 2.0208 11.5918
```



Record 10
Here is NaLaPr after structural relaxation from Alexandria. Energies are from PBE-GGA. Values from VASP.

Results
For the density, the calculation gives 4.529 g/cm3. The magnetization comes out at 0.00 Bohr magnetons per cell. The density of states at the Fermi level is 1.067 states/eV per atom. The total energy comes out at -10.69 eV for the cell shown. The calculated formation energy is 0.113 eV per atom. As for the space-group type: I4mm, No. 107.

Structure (Quantum ESPRESSO input):
```
&SYSTEM
  ibrav = 0, nat = 3, ntyp = 3
/
ATOMIC_SPECIES
Na 22.99 Na.upf
La 138.91 La.upf
Pr 140.91 Pr.upf
CELL_PARAMETERS angstrom
-1.8103 1.8103 8.4696
1.8103 -1.8103 8.4696
1.8103 1.8103 -8.4696
ATOMIC_POSITIONS angstrom
Na 0.0000 0.0000 0.0000
La 0.0000 0.0000 11.4279
Pr 0.0000 0.0000 5.5772
```



Record 11
Here is Nd3SmDy6Ho2 after structural relaxation from Alexandria. Energies are from PBE-GGA. Values from VASP.

Results
For the density, the calculation gives 8.061 g/cm3. The magnetization comes out at 0.00 Bohr magnetons per cell. The density of states at the Fermi level is 1.281 states/eV per atom. The total energy comes out at -55.59 eV for the cell shown. The calculated formation energy is 0.016 eV per atom. As for the space-group type: C2/m, No. 12.

Structure (Quantum ESPRESSO input):
```
&SYSTEM
  ibrav = 0, nat = 12, ntyp = 4
/
ATOMIC_SPECIES
Nd 144.24 Nd.upf
Sm 150.36 Sm.upf
Dy 162.50 Dy.upf
Ho 164.93 Ho.upf
CELL_PARAMETERS angstrom
3.1034 -5.3729 0.0000
3.1034 5.3729 0.0000
-2.0595 0.0000 11.6622
ATOMIC_POSITIONS angstrom
Nd 0.0000 0.0000 0.0000
Nd 3.1034 1.7925 0.0000
Nd 3.1034 -1.7925 0.0000
Sm 2.0736 0.0000 5.8311
Dy 1.0333 1.7933 2.9510
Dy 0.0059 0.0000 8.7109
Dy 1.0333 -1.7933 2.9510
Dy 3.1139 1.7933 8.7112
Dy 4.1414 0.0000 2.9513
Dy 3.1139 -1.7933 8.7112
Ho 2.0736 3.5811 5.8311
Ho 2.0736 -3.5811 5.8311
```